1.
First-principles (PBE-GGA) data for a relaxed structure of CaAlP2Ru, as listed in Alexandria.

abc: 5.0533 5.0533 5.3120
angles: 90.00 90.00 90.00
Element x y z (fractional)
Ca 0.0000 0.0000 0.0000
Al 0.0000 0.0000 0.5000
P 0.0000 0.5000 0.0000
P 0.5000 0.0000 0.0000
Ru 0.5000 0.5000 0.5000

Output
Its space group is P4/mmm (123). The total energy is -17.4 eV for the cell shown. As for the density of states at the Fermi level: 4.2 states/eV/f.u. As for the calculated volume: 27.13 Å³/atom. As for the formation enthalpy at 0 K: 1.683 eV/atom.


2.
First-principles (PBE-GGA) data for a relaxed structure of CaAlPS2, as listed in Alexandria.

abc: 5.2614 5.2614 5.4683
angles: 90.00 90.00 90.00
Element x y z (fractional)
Ca 0.0000 0.0000 0.0000
Al 0.5000 0.5000 0.5000
P 0.0000 0.0000 0.5000
S 0.0000 0.5000 0.0000
S 0.5000 0.0000 0.0000

Output
The value obtained for the offset from the most stable computed form is 1.0971 eV/atom. Its space group is P4/mmm (123). The total energy is -16.9 eV for the cell shown. As for the uncorrected formation energy: 511 meV/atom. As for the density of states at the Fermi level: 5.1 states/eV/f.u. As for the calculated volume: 30.27 Å³/atom.


- What is the calculated volume in the first record?
  27.13 Å³/atom


- Number 1 is which compound?
  CaAlP2Ru


- Which value of calculated volume does entry 1 give?
  27.13 Å³/atom


- Which formula does entry 1 have?
  CaAlP2Ru